Entry from the Alexandria database: RbBaAl2 after structural relaxation (PBE).

a b c (Å): 7.616 7.616 7.616
angles (deg): 101.26 101.26 127.56
Atoms (fractional coordinates):
1 Rb 0.000 0.000 0.000
2 Rb 0.750 0.250 0.500
3 Ba 0.250 0.750 0.500
4 Ba 0.500 0.500 0.000
5 Al 0.136 0.625 0.011
6 Al 0.375 0.386 0.511
7 Al 0.614 0.125 0.989
8 Al 0.875 0.864 0.489

## Properties
**Space-group type**: I-42d, No. 122
**Total DFT energy (no corrections)**: -2.030 eV per atom
**Crystal system**: tetragonal
**Polymorph energy (0 for the lowest one)**: 5.53 kcal/mol of atoms